[1]
FeAgI2O: optimized geometry, PBE with a Hubbard U.

Cell lengths 5.795, 5.795, 4.023 Å; angles 90.00, 90.00, 90.00 degrees
Space group P4/mmm (No. 123)
Inequivalent atoms, fractional coordinates:
Fe (0.000, 0.000, 0.000) x1
Ag (0.500, 0.500, 0.500) x1
I (0.000, 0.500, 0.500) x2
O (0.500, 0.500, 0.000) x1

Results
Its uncorrected energy is -14.3 eV per cell. The density of states at the Fermi level is 4.31 states/eV/cell. The value obtained for the energy above the lowest structure with this stoichiometry is 0.650 eV per atom.

=====

[2]
FeAgI2O: optimized geometry, PBE with a Hubbard U.

Cell lengths 5.815, 5.815, 3.703 Å; angles 90.00, 90.00, 90.00 degrees
Space group P4/mmm (No. 123)
Inequivalent atoms, fractional coordinates:
Fe (0.000, 0.000, 0.000) x1
Ag (0.500, 0.500, 0.500) x1
I (0.000, 0.500, 0.000) x2
O (0.000, 0.000, 0.500) x1

Results
Its uncorrected energy is -17.6 eV per cell. The density of states at the Fermi level is 0.50 states/eV/cell. The value obtained for the energy above the lowest structure with this stoichiometry is 0.000 eV per atom.